VASP calculation (PBE) on a relaxed structure of MnNi2W.

a = 5.820 Å, b = 5.820 Å, c = 5.820 Å
α = 90.00°, β = 90.00°, γ = 90.00°
Space group F-43m (No. 216)
Symmetry-distinct sites (fractional):
Mn1 0.000 0.000 0.000 [4 per cell]
Ni1 0.000 0.000 0.500 [4 per cell]
Ni2 0.250 0.250 0.750 [4 per cell]
W1 0.250 0.250 0.250 [4 per cell]

VASP calculation (PBE) on a relaxed structure of MnNiW2.

a = 3.137 Å, b = 3.137 Å, c = 5.630 Å
α = 90.00°, β = 90.00°, γ = 90.00°
Space group P4mm (No. 99)
Symmetry-distinct sites (fractional):
Mn1 0.000 0.000 0.000 [1 per cell]
Ni1 0.500 0.500 0.239 [1 per cell]
W1 0.000 0.000 0.473 [1 per cell]
W2 0.500 0.500 0.760 [1 per cell]

Number 1: Fermi-level density of states 14.44 states/eV/cell, formation energy from the elements 41 kJ/mol of formula units. Number 2: Fermi-level density of states 4.41 states/eV/cell, formation energy from the elements 53 kJ/mol of formula units.